First-principles (PBE) data for a relaxed BaGe2 crystal, as listed in the Alexandria database.

a b c (Å): 6.050 6.050 6.050
angles (deg): 60.00 60.00 60.00
Element x y z (fractional)
Ge: 0.625 0.125 0.625
Ba: 0.000 0.000 0.000
Ba: 0.250 0.250 0.250
Ge: 0.125 0.625 0.625
Ge: 0.625 0.625 0.125
Ge: 0.625 0.625 0.625

Summary:
space group: Fd-3m, No. 227


First-principles (PBE) data for a relaxed BaGe3 crystal, as listed in the Alexandria database.

a b c (Å): 4.676 4.676 6.541
angles (deg): 110.94 110.94 90.00
Element x y z (fractional)
Ge: 0.291 0.291 0.581
Ge: 0.500 0.500 0.000
Ge: 0.709 0.709 0.419
Ba: 0.000 0.000 0.000

Summary:
N(E_F): 1.96 states/eV per cell
space group: I4/mmm, No. 139


VASP energy readings, ordered: -4.0937 -3.9591 eV/atom
Magnetic moment readings, ordered: 0.000 0.000 μB per formula unit